Crystalline SbPd2Au at its relaxed geometry. Source: Alexandria, functional GGA-PBE.

The space group is P4/mmm (No. 123) and the conventional cell measures 3.481, 3.481 and 5.933 Å, with angles of 90.00, 90.00 and 90.00 degrees. The asymmetric unit holds Sb at (0.000, 0.000, 0.000), Pd at (0.500, 0.500, 0.247) and Au at (0.000, 0.000, 0.500).

The raw formation energy is -0.256 eV/atom. For the magnetization, the calculation gives 0.000 μB per atom.